Record 1
Material: Ca3HN
Method: DFT, PBE
State: optimized geometry

Cell: 6.3857 6.4377 7.0354 Å, 91.82 115.82 118.89°
Closest atoms and distances in Å follow each position.
Space group P1 (No. 1)
Inequivalent atoms, fractional coordinates:
Ca  0.0000  0.0000  0.0000 x1  1 H 2.31, 2 N 2.45-2.52
Ca  0.0407  0.8820  0.5185 x1  2 H 2.28-2.50, 2 N 2.47-2.55
Ca  0.3181  0.7434  0.0016 x1  2 N 2.38-2.44, 1 H 2.46
Ca  0.4271  0.6354  0.5128 x1  1 H 2.27, 1 N 2.47
Ca  0.6579  0.2250  0.4954 x1  1 H 2.17, 1 N 2.37
Ca  0.7677  0.4435  0.0147 x1  2 N 2.40-2.41, 1 H 2.63
H  0.5153  0.9780  0.7885 x1  5 Ca 2.46-2.71, 1 H 2.59
H  0.8323  0.0128  0.6390 x1  4 Ca 2.17-2.31
N  0.2036  0.8250  0.2721 x1  6 Ca 2.40-2.47
N  0.8543  0.6161  0.7375 x1  6 Ca 2.37-2.56

offset from the most stable computed form = 26.3 kJ/mol of formula units



Record 2
Material: SmLuZnSi
Method: DFT, PBE
State: optimized geometry

Cell: 7.0392 7.0392 7.0392 Å, 90.00 90.00 90.00°
Closest atoms and distances in Å follow each position.
Space group F-43m (No. 216)
Inequivalent atoms, fractional coordinates:
Sm  0.0000  0.0000  0.0000 x4  4 Zn 3.05, 4 Si 3.05
Lu  0.0000  0.0000  0.5000 x4  4 Si 3.05, 4 Zn 3.05
Zn  0.2500  0.2500  0.2500 x4  4 Sm 3.05, 4 Lu 3.05
Si  0.2500  0.2500  0.7500 x4  4 Sm 3.05, 4 Lu 3.05

E_form (uncorrected) = -1.727 eV/f.u.



Record 3
Material: Ag2Mo
Method: DFT, PBE
State: optimized geometry

Cell: 4.7424 13.4428 3.3179 Å, 90.00 90.00 90.00°
Closest atoms and distances in Å follow each position.
Space group Cmcm (No. 63)
Inequivalent atoms, fractional coordinates:
Ag  0.0000  0.0858  0.2500 x4  4 Ag 2.81-2.84, 6 Mo 2.91-3.12
Ag  0.0000  0.2543  0.7500 x4  6 Ag 2.81-2.90, 2 Mo 2.95
Mo  0.0000  0.4355  0.2500 x4  2 Mo 2.40

offset from the most stable computed form = 0.0 kJ/mol of formula units
formation energy from the elements = 1.2 eV per formula unit



Record 4
Material: NaAcGdLu
Method: DFT, PBE
State: optimized geometry

Cell: 8.2385 8.2385 8.2385 Å, 90.00 90.00 90.00°
Closest atoms and distances in Å follow each position.
Space group F-43m (No. 216)
Inequivalent atoms, fractional coordinates:
Na  0.0000  0.0000  0.0000 x4  4 Gd 3.57, 4 Ac 3.57
Ac  0.2500  0.2500  0.2500 x4  4 Na 3.57, 4 Lu 3.57
Gd  0.2500  0.2500  0.7500 x4  4 Lu 3.57, 4 Na 3.57
Lu  0.0000  0.0000  0.5000 x4  4 Ac 3.57, 4 Gd 3.57

formation energy from the elements = 1.0 eV per formula unit